Compound: La5Zn2Sb
Source: Alexandria via LeMat-Bulk
Functional: PBE
Structure: optimized geometry

a b c (Å): 8.6220 8.6220 13.1263
angles (deg): 90.00 90.00 90.00
Last column: nearest neighbours and their distance in Å.
Space group I4/mcm (No. 140)
One atom of each set of equivalent atoms:
La 0.0000 0.0000 0.0000 (multiplicity 4)  2 Sb 3.28, 4 Zn 3.34
La 0.1575 0.3425 0.1465 (multiplicity 16)  3 Zn 3.15-3.19, 2 Sb 3.52, 1 La 3.53
Zn 0.1374 0.3626 0.5000 (multiplicity 8)  8 La 3.15-3.34, 1 Zn 3.35
Sb 0.0000 0.0000 0.2500 (multiplicity 4)  10 La 3.28-3.52

E_tot, eV/cell: -140.285
Energy relative to the elements, uncorrected, eV per atom: -0.470
Magnetic moment, μB per atom: 0.00

---

Compound: La2ZnSb
Source: Alexandria via LeMat-Bulk
Functional: PBE
Structure: optimized geometry

a b c (Å): 4.4770 4.4770 23.0591
angles (deg): 90.00 90.00 120.00
Last column: nearest neighbours and their distance in Å.
Space group R-3m (No. 166, hexagonal axes)
One atom of each set of equivalent atoms:
La 0.0000 0.0000 0.2481 (multiplicity 6)  3 Sb 3.19, 3 Zn 3.25
Zn 0.0000 0.0000 0.0000 (multiplicity 3)  6 La 3.25
Sb 0.0000 0.0000 0.5000 (multiplicity 3)  6 La 3.19

Energy above the lowest structure with this stoichiometry, eV/atom: 0.1119
E_tot, eV/cell: -53.185
Energy relative to the elements, uncorrected, eV per atom: -0.619
Magnetic moment, μB per atom: 0.08

---

Compound: La2ZnSb
Source: Alexandria via LeMat-Bulk
Functional: PBE
Structure: optimized geometry

a b c (Å): 4.1668 4.9335 10.9500
angles (deg): 90.00 90.00 90.00
Last column: nearest neighbours and their distance in Å.
Space group Imm2 (No. 44)
One atom of each set of equivalent atoms:
La 0.0000 0.0000 0.0000 (multiplicity 2)  4 Sb 3.28, 4 La 3.52-3.62, 4 Zn 3.55-3.58
La 0.0000 0.5000 0.2293 (multiplicity 2)  4 Zn 3.25, 2 Sb 3.44, 4 La 3.52-3.62
Zn 0.0000 0.5000 0.7627 (multiplicity 2)  2 Sb 2.91, 4 La 3.25
Sb 0.0000 0.0000 0.4488 (multiplicity 2)  2 Zn 2.91

Energy above the lowest structure with this stoichiometry, eV/atom: 0.0889
E_tot, eV/cell: -35.640
Energy relative to the elements, uncorrected, eV per atom: -0.642
Magnetic moment, μB per atom: 0.00